## 1
! PBE KLiICl, relaxed; values from VASP
! V (Å³ per atom): 32.03
! Total magnetic moment (Bohr magnetons per cell): 0.00
! Calculated density (g cm⁻³): 2.701
&SYSTEM
  ibrav = 0, nat = 4, ntyp = 4
/
ATOMIC_SPECIES
K 39.10 K.upf
Li 6.94 Li.upf
I 126.90 I.upf
Cl 35.45 Cl.upf
ATOMIC_POSITIONS angstrom
K 2.152 2.152 3.460
Li 0.000 0.000 0.000
I 2.152 2.152 0.000
Cl 0.000 0.000 3.460
CELL_PARAMETERS angstrom
4.303 0.000 0.000
0.000 4.303 0.000
0.000 0.000 6.919

=====

## 2
! PBE KLiICl, relaxed; values from VASP
! V (Å³ per atom): 34.63
! Total magnetic moment (Bohr magnetons per cell): 0.00
! Calculated density (g cm⁻³): 2.498
&SYSTEM
  ibrav = 0, nat = 4, ntyp = 4
/
ATOMIC_SPECIES
K 39.10 K.upf
Li 6.94 Li.upf
I 126.90 I.upf
Cl 35.45 Cl.upf
ATOMIC_POSITIONS angstrom
K 2.318 1.339 7.045
Li 0.000 2.677 3.302
I 0.000 0.000 4.463
Cl 0.000 2.677 1.029
CELL_PARAMETERS angstrom
4.637 0.000 0.000
-2.318 4.016 0.000
0.000 0.000 7.439

=====

In order of decreasing stability: 2, 1.

=====

## 1
! PBE KMgI2Cl, relaxed; values from VASP
! V (Å³ per atom): 38.28
! Total magnetic moment (Bohr magnetons per cell): 0.00
! Calculated density (g cm⁻³): 3.060
&SYSTEM
  ibrav = 0, nat = 10, ntyp = 4
/
ATOMIC_SPECIES
K 39.10 K.upf
Mg 24.30 Mg.upf
I 126.90 I.upf
Cl 35.45 Cl.upf
ATOMIC_POSITIONS angstrom
K 1.105 4.347 4.185
K 3.316 0.626 5.903
Mg 1.105 4.393 8.365
Mg 3.316 0.580 1.724
I 3.316 5.766 6.768
I 3.316 3.238 10.013
I 1.105 -0.793 3.320
I 1.105 1.735 0.075
Cl 1.105 2.535 6.829
Cl 3.316 2.438 3.259
CELL_PARAMETERS angstrom
4.422 0.000 0.000
0.000 8.616 0.072
0.000 -3.643 10.016

=====

## 2
! PBE KMgI2Cl, relaxed; values from VASP
! V (Å³ per atom): 80.10
! Total magnetic moment (Bohr magnetons per cell): 0.00
! Calculated density (g cm⁻³): 1.462
&SYSTEM
  ibrav = 0, nat = 5, ntyp = 4
/
ATOMIC_SPECIES
I 126.90 I.upf
K 39.10 K.upf
Mg 24.30 Mg.upf
Cl 35.45 Cl.upf
ATOMIC_POSITIONS angstrom
I 0.860 -2.567 0.222
I -2.574 -0.844 0.205
K -0.312 -0.687 -6.742
Mg 0.000 0.000 0.000
Cl -2.026 -4.098 -6.315
CELL_PARAMETERS angstrom
-5.148 -1.688 0.410
-0.624 -1.374 -13.484
1.719 -5.135 0.444

=====

In order of decreasing stability: 1, 2.

=====

## 1
! PBE KMnICl2, relaxed; values from VASP
! V (Å³ per atom): 30.12
! Total magnetic moment (Bohr magnetons per cell): 5.00
! Calculated density (g cm⁻³): 3.218
&SYSTEM
  ibrav = 0, nat = 5, ntyp = 4
/
ATOMIC_SPECIES
I 126.90 I.upf
K 39.10 K.upf
Mn 54.94 Mn.upf
Cl 35.45 Cl.upf
ATOMIC_POSITIONS angstrom
I 0.000 0.000 2.951
K 2.525 2.525 2.951
Mn 0.000 0.000 0.000
Cl 0.000 2.525 0.000
Cl 2.525 0.000 0.000
CELL_PARAMETERS angstrom
5.051 0.000 0.000
0.000 5.051 0.000
0.000 0.000 5.902

=====

## 2
! PBE KMnICl2, relaxed; values from VASP
! V (Å³ per atom): 38.02
! Total magnetic moment (Bohr magnetons per cell): 10.00
! Calculated density (g cm⁻³): 2.550
&SYSTEM
  ibrav = 0, nat = 10, ntyp = 4
/
ATOMIC_SPECIES
K 39.10 K.upf
Mn 54.94 Mn.upf
I 126.90 I.upf
Cl 35.45 Cl.upf
ATOMIC_POSITIONS angstrom
K -2.718 6.228 -1.264
K -5.106 2.713 2.337
Mn -5.528 6.637 3.844
Mn -2.295 2.304 -2.771
I -4.431 2.908 -1.279
I -3.393 6.033 2.352
Cl -7.156 7.600 1.873
Cl -0.668 1.341 -0.800
Cl 0.033 5.914 0.230
Cl -7.856 3.027 0.843
CELL_PARAMETERS angstrom
-2.701 1.415 -4.441
-6.967 -1.121 3.881
1.845 8.647 1.632

=====

In order of decreasing stability: 2, 1.

=====

## 1
! PBE KI2NCl, relaxed; values from VASP
! V (Å³ per atom): 35.10
! Total magnetic moment (Bohr magnetons per cell): 0.98
! Calculated density (g cm⁻³): 3.239
&SYSTEM
  ibrav = 0, nat = 5, ntyp = 4
/
ATOMIC_SPECIES
I 126.90 I.upf
K 39.10 K.upf
N 14.01 N.upf
Cl 35.45 Cl.upf
ATOMIC_POSITIONS angstrom
I 2.196 -2.447 1.382
I -1.245 0.725 3.263
K 2.169 -0.517 4.842
N 1.218 1.205 0.197
Cl 0.000 0.000 0.000
CELL_PARAMETERS angstrom
-2.491 1.449 6.525
4.393 -4.894 2.764
2.436 2.410 0.395

=====

## 2
! PBE KI2NCl, relaxed; values from VASP
! V (Å³ per atom): 50.07
! Total magnetic moment (Bohr magnetons per cell): 5.01
! Calculated density (g cm⁻³): 2.271
&SYSTEM
  ibrav = 0, nat = 5, ntyp = 4
/
ATOMIC_SPECIES
I 126.90 I.upf
K 39.10 K.upf
N 14.01 N.upf
Cl 35.45 Cl.upf
ATOMIC_POSITIONS angstrom
I 0.000 3.332 0.000
I 3.332 0.000 0.000
K 0.000 0.000 0.000
N 0.000 0.000 2.819
Cl 3.332 3.332 2.819
CELL_PARAMETERS angstrom
6.664 0.000 0.000
0.000 6.664 0.000
0.000 0.000 5.638

=====

In order of decreasing stability: 1, 2.